DFT (PBE) results for ZnHgAs2 after structural relaxation.

The structure belongs to space group R-3m (No. 166, hexagonal axes); the cell edges are 3.0875, 3.0875 and 31.6201 Å and the angles 90.00°, 90.00° and 120.00°. The asymmetric unit holds Zn at (0.0000, 0.0000, 0.0000), Hg at (0.0000, 0.0000, 0.5000) and As at (0.0000, 0.0000, 0.2701).

The calculated formation energy comes out at 0.89 eV/f.u. For the density of states at the Fermi level, the calculation gives 0.251 states/eV/atom. Its total DFT energy (no corrections) is -0.0918 hartree per atom. Its total magnetization is 0.00 μB/cell.